First-principles (PBE) data for an optimized crystal structure of K2DyBiSe4, as listed in Alexandria via LeMat-Bulk.

raw formation energy: -1284 meV per atom

Cell lengths 7.420, 4.264, 8.081 Å; angles 90.00, 107.65, 90.00 degrees
Atoms (fractional coordinates):
K  0.000  0.000  0.000
K  0.500  0.500  0.000
Dy  0.000  0.500  0.500
Bi  0.500  0.000  0.500
Se  0.229  0.000  0.706
Se  0.256  0.500  0.290
Se  0.744  0.500  0.710
Se  0.771  0.000  0.294

First-principles (PBE) data for an optimized crystal structure of CaCr3Sn, as listed in Alexandria via LeMat-Bulk.

energy above the most stable polymorph in this dataset: 0.873 eV/atom
E_form: 9.44 eV/f.u.

Cell lengths 5.051, 5.051, 5.051 Å; angles 90.00, 90.00, 90.00 degrees
Atoms (fractional coordinates):
Ca  0.000  0.000  0.000
Cr  0.000  0.000  0.500
Cr  0.000  0.500  0.000
Cr  0.500  0.000  0.000
Sn  0.500  0.500  0.500

First-principles (PBE) data for an optimized crystal structure of Rb2Na2F5, as listed in Alexandria via LeMat-Bulk.

raw formation energy: -2364 meV per atom

Cell lengths 6.447, 6.447, 7.176 Å; angles 117.38, 117.38, 41.56 degrees
Atoms (fractional coordinates):
Rb  0.115  0.115  0.290
Rb  0.885  0.885  0.710
Na  0.369  0.369  0.151
Na  0.631  0.631  0.849
F  0.151  0.151  0.927
F  0.389  0.389  0.485
F  0.500  0.500  0.000
F  0.611  0.611  0.515
F  0.849  0.849  0.073

First-principles (PBE) data for an optimized crystal structure of ScH2Pd2, as listed in Alexandria via LeMat-Bulk.

energy above the most stable polymorph in this dataset: 0.062 eV/atom

Cell lengths 5.815, 5.815, 3.600 Å; angles 90.00, 90.00, 90.00 degrees
Atoms (fractional coordinates):
Sc  0.000  0.000  0.000
Sc  0.500  0.500  0.000
H  0.161  0.339  0.000
H  0.339  0.839  0.000
H  0.661  0.161  0.000
H  0.839  0.661  0.000
Pd  0.165  0.335  0.500
Pd  0.335  0.835  0.500
Pd  0.665  0.165  0.500
Pd  0.835  0.665  0.500

First-principles (PBE) data for an optimized crystal structure of Sm2MgSc2, as listed in Alexandria via LeMat-Bulk.

energy above the most stable polymorph in this dataset: 0.000 eV/atom
E_form: -0.01 eV/f.u.

Cell lengths 9.887, 9.887, 5.371 Å; angles 90.00, 90.00, 32.45 degrees
Atoms (fractional coordinates):
Sm  0.123  0.669  0.750
Sm  0.331  0.877  0.750
Sm  0.669  0.123  0.250
Sm  0.877  0.331  0.250
Mg  0.273  0.727  0.250
Mg  0.727  0.273  0.750
Sc  0.096  0.483  0.250
Sc  0.483  0.096  0.750
Sc  0.517  0.904  0.250
Sc  0.904  0.517  0.750

First-principles (PBE) data for an optimized crystal structure of MnAlVPt, as listed in Alexandria via LeMat-Bulk.

E_form: -1.76 eV/f.u.

Cell lengths 5.991, 5.991, 5.991 Å; angles 90.00, 90.00, 90.00 degrees
Atoms (fractional coordinates):
Mn  0.000  0.000  0.000
Mn  0.000  0.500  0.500
Mn  0.500  0.000  0.500
Mn  0.500  0.500  0.000
Al  0.250  0.250  0.250
Al  0.250  0.750  0.750
Al  0.750  0.250  0.750
Al  0.750  0.750  0.250
V  0.250  0.250  0.750
V  0.250  0.750  0.250
V  0.750  0.250  0.250
V  0.750  0.750  0.750
Pt  0.000  0.000  0.500
Pt  0.000  0.500  0.000
Pt  0.500  0.000  0.000
Pt  0.500  0.500  0.500

First-principles (PBE) data for an optimized crystal structure of AgHgPt2, as listed in Alexandria via LeMat-Bulk.

E_form: 0.10 eV/f.u.

Cell lengths 4.114, 4.114, 4.090 Å; angles 90.00, 90.00, 90.00 degrees
Atoms (fractional coordinates):
Ag  0.000  0.000  0.000
Hg  0.500  0.500  0.000
Pt  0.000  0.500  0.500
Pt  0.500  0.000  0.500

First-principles (PBE) data for an optimized crystal structure of CdCu2Pt, as listed in Alexandria via LeMat-Bulk.

E_form: -0.40 eV/f.u.

Cell lengths 2.937, 2.937, 6.915 Å; angles 90.00, 90.00, 90.00 degrees
Atoms (fractional coordinates):
Cd  0.000  0.000  0.000
Cu  0.000  0.000  0.475
Cu  0.500  0.500  0.275
Pt  0.500  0.500  0.709

First-principles (PBE) data for an optimized crystal structure of SiOsPt, as listed in Alexandria via LeMat-Bulk.

energy above the most stable polymorph in this dataset: 0.109 eV/atom
raw formation energy: -185 meV per atom

Cell lengths 2.853, 2.853, 6.091 Å; angles 90.00, 90.00, 120.00 degrees
Atoms (fractional coordinates):
Si  0.000  0.000  0.000
Os  0.667  0.333  0.294
Pt  0.333  0.667  0.689

First-principles (PBE) data for an optimized crystal structure of Mo2Rh2Pb, as listed in Alexandria via LeMat-Bulk.

energy above the most stable polymorph in this dataset: 0.000 eV/atom
E_form: 1.21 eV/f.u.

Cell lengths 3.646, 3.646, 13.496 Å; angles 90.00, 90.00, 90.00 degrees
Atoms (fractional coordinates):
Mo  0.000  0.500  0.250
Mo  0.000  0.500  0.750
Mo  0.500  0.000  0.250
Mo  0.500  0.000  0.750
Rh  0.000  0.000  0.102
Rh  0.000  0.000  0.898
Rh  0.500  0.500  0.398
Rh  0.500  0.500  0.602
Pb  0.000  0.000  0.500
Pb  0.500  0.500  0.000

First-principles (PBE) data for an optimized crystal structure of ZrPaSnHg, as listed in Alexandria via LeMat-Bulk.

E_form: -0.29 eV/f.u.

Cell lengths 7.310, 7.310, 7.310 Å; angles 90.00, 90.00, 90.00 degrees
Atoms (fractional coordinates):
Zr  0.000  0.000  0.000
Zr  0.000  0.500  0.500
Zr  0.500  0.000  0.500
Zr  0.500  0.500  0.000
Pa  0.000  0.000  0.500
Pa  0.000  0.500  0.000
Pa  0.500  0.000  0.000
Pa  0.500  0.500  0.500
Sn  0.250  0.250  0.750
Sn  0.250  0.750  0.250
Sn  0.750  0.250  0.250
Sn  0.750  0.750  0.750
Hg  0.250  0.250  0.250
Hg  0.250  0.750  0.750
Hg  0.750  0.250  0.750
Hg  0.750  0.750  0.250

First-principles (PBE) data for an optimized crystal structure of Er2BePd6, as listed in Alexandria via LeMat-Bulk.

energy above the most stable polymorph in this dataset: 0.000 eV/atom
E_form: -8.20 eV/f.u.

Cell lengths 5.941, 5.941, 5.941 Å; angles 60.00, 60.00, 60.00 degrees
Atoms (fractional coordinates):
Er  0.250  0.250  0.250
Er  0.750  0.750  0.750
Be  0.000  0.000  0.000
Pd  0.261  0.261  0.739
Pd  0.261  0.739  0.261
Pd  0.261  0.739  0.739
Pd  0.739  0.261  0.261
Pd  0.739  0.261  0.739
Pd  0.739  0.739  0.261

First-principles (PBE) data for an optimized crystal structure of Li2YTlMo, as listed in Alexandria via LeMat-Bulk.

E_form: 3.23 eV/f.u.

Cell lengths 4.675, 4.675, 5.354 Å; angles 90.00, 90.00, 90.00 degrees
Atoms (fractional coordinates):
Li  0.000  0.500  0.000
Li  0.500  0.000  0.000
Y  0.000  0.000  0.500
Tl  0.500  0.500  0.000
Mo  0.500  0.500  0.500

First-principles (PBE) data for an optimized crystal structure of Bi3AsRu, as listed in Alexandria via LeMat-Bulk.

energy above the most stable polymorph in this dataset: 0.735 eV/atom
E_form: 6.45 eV/f.u.

Cell lengths 5.461, 5.461, 5.461 Å; angles 90.00, 90.00, 90.00 degrees
Atoms (fractional coordinates):
Bi  0.000  0.000  0.500
Bi  0.000  0.500  0.000
Bi  0.500  0.000  0.000
As  0.000  0.000  0.000
Ru  0.500  0.500  0.500

First-principles (PBE) data for an optimized crystal structure of TaOsRu3, as listed in Alexandria via LeMat-Bulk.

energy above the most stable polymorph in this dataset: 0.920 eV/atom
E_form: 10.38 eV/f.u.

Cell lengths 4.621, 4.621, 4.621 Å; angles 90.00, 90.00, 90.00 degrees
Atoms (fractional coordinates):
Ta  0.000  0.000  0.000
Os  0.500  0.500  0.500
Ru  0.000  0.000  0.500
Ru  0.000  0.500  0.000
Ru  0.500  0.000  0.000

First-principles (PBE) data for an optimized crystal structure of BaAl6, as listed in Alexandria via LeMat-Bulk.

E_form: 1.35 eV/f.u.

Cell lengths 7.327, 7.327, 7.327 Å; angles 90.00, 90.00, 90.00 degrees
Atoms (fractional coordinates):
Ba  0.000  0.000  0.000
Ba  0.500  0.500  0.500
Al  0.000  0.250  0.500
Al  0.000  0.500  0.250
Al  0.000  0.500  0.750
Al  0.000  0.750  0.500
Al  0.250  0.000  0.500
Al  0.250  0.500  0.000
Al  0.500  0.000  0.250
Al  0.500  0.000  0.750
Al  0.500  0.250  0.000
Al  0.500  0.750  0.000
Al  0.750  0.000  0.500
Al  0.750  0.500  0.000

First-principles (PBE) data for an optimized crystal structure of AcNdMg, as listed in Alexandria via LeMat-Bulk.

energy above the most stable polymorph in this dataset: 0.165 eV/atom
E_form: 0.37 eV/f.u.

Cell lengths 7.252, 7.143, 8.378 Å; angles 90.00, 101.06, 90.00 degrees
Atoms (fractional coordinates):
Ac  0.185  0.000  0.184
Ac  0.315  0.500  0.816
Ac  0.685  0.500  0.184
Ac  0.815  0.000  0.816
Nd  0.182  0.500  0.232
Nd  0.318  0.000  0.768
Nd  0.682  0.000  0.232
Nd  0.818  0.500  0.768
Mg  0.000  0.247  0.500
Mg  0.000  0.753  0.500
Mg  0.500  0.253  0.500
Mg  0.500  0.747  0.500

First-principles (PBE) data for an optimized crystal structure of SmZn6Cu, as listed in Alexandria via LeMat-Bulk.

E_form: -1.37 eV/f.u.

Cell lengths 4.145, 4.145, 8.259 Å; angles 90.00, 90.00, 90.00 degrees
Atoms (fractional coordinates):
Sm  0.000  0.000  0.000
Zn  0.000  0.500  0.332
Zn  0.000  0.500  0.668
Zn  0.500  0.000  0.332
Zn  0.500  0.000  0.668
Zn  0.500  0.500  0.147
Zn  0.500  0.500  0.853
Cu  0.000  0.000  0.500

First-principles (PBE) data for an optimized crystal structure of MgSnPb4, as listed in Alexandria via LeMat-Bulk.

E_form: 0.32 eV/f.u.

Cell lengths 9.005, 5.196, 8.961 Å; angles 90.00, 109.85, 90.00 degrees
Atoms (fractional coordinates):
Mg  0.000  0.000  0.000
Mg  0.500  0.500  0.000
Sn  0.000  0.500  0.500
Sn  0.500  0.000  0.500
Pb  0.122  0.000  0.368
Pb  0.127  0.500  0.883
Pb  0.373  0.000  0.117
Pb  0.378  0.500  0.632
Pb  0.622  0.500  0.368
Pb  0.627  0.000  0.883
Pb  0.873  0.500  0.117
Pb  0.878  0.000  0.632

First-principles (PBE) data for an optimized crystal structure of CaCeF5, as listed in Alexandria via LeMat-Bulk.

energy above the most stable polymorph in this dataset: 0.027 eV/atom
raw formation energy: -3853 meV per atom

Cell lengths 5.020, 5.020, 8.054 Å; angles 91.89, 91.89, 89.04 degrees
Atoms (fractional coordinates):
Ca  0.012  0.988  0.750
Ca  0.988  0.012  0.250
Ce  0.500  0.500  0.000
Ce  0.500  0.500  0.500
F  0.103  0.244  0.507
F  0.137  0.553  0.825
F  0.244  0.103  0.007
F  0.327  0.673  0.250
F  0.447  0.863  0.675
F  0.553  0.137  0.325
F  0.673  0.327  0.750
F  0.756  0.897  0.993
F  0.863  0.447  0.175
F  0.897  0.756  0.493

First-principles (PBE) data for an optimized crystal structure of AlIrO2F, as listed in Alexandria via LeMat-Bulk.

raw formation energy: -1042 meV per atom

Cell lengths 3.845, 3.845, 3.462 Å; angles 90.00, 90.00, 90.00 degrees
Atoms (fractional coordinates):
Al  0.000  0.000  0.000
Ir  0.500  0.500  0.500
O  0.000  0.500  0.000
O  0.500  0.000  0.000
F  0.000  0.000  0.500

First-principles (PBE) data for an optimized crystal structure of UFeH3, as listed in Alexandria via LeMat-Bulk.

Cell lengths 5.604, 4.485, 8.394 Å; angles 90.00, 119.92, 90.00 degrees
Atoms (fractional coordinates):
U  0.182  0.249  0.169
U  0.182  0.251  0.669
U  0.818  0.749  0.331
U  0.818  0.751  0.831
Fe  0.364  0.747  0.418
Fe  0.364  0.753  0.918
Fe  0.636  0.247  0.082
Fe  0.636  0.253  0.582
H  0.111  0.749  0.700
H  0.111  0.751  0.200
H  0.293  0.084  0.455
H  0.293  0.416  0.955
H  0.456  0.537  0.606
H  0.456  0.963  0.106
H  0.544  0.037  0.894
H  0.544  0.463  0.394
H  0.707  0.584  0.045
H  0.707  0.916  0.545
H  0.889  0.249  0.800
H  0.889  0.251  0.300

First-principles (PBE) data for an optimized crystal structure of LiPm2Te, as listed in Alexandria via LeMat-Bulk.

energy above the most stable polymorph in this dataset: 0.001 eV/atom
raw formation energy: -598 meV per atom

Cell lengths 14.573, 4.052, 9.794 Å; angles 90.00, 126.89, 90.00 degrees
Atoms (fractional coordinates):
Li  0.081  0.000  0.215
Li  0.419  0.500  0.785
Li  0.581  0.500  0.215
Li  0.919  0.000  0.785
Pm  0.143  0.500  0.537
Pm  0.147  0.500  0.024
Pm  0.353  0.000  0.976
Pm  0.357  0.000  0.463
Pm  0.643  0.000  0.537
Pm  0.647  0.000  0.024
Pm  0.853  0.500  0.976
Pm  0.857  0.500  0.463
Te  0.078  0.000  0.727
Te  0.422  0.500  0.273
Te  0.578  0.500  0.727
Te  0.922  0.000  0.273

First-principles (PBE) data for an optimized crystal structure of K2TlSnBr4, as listed in Alexandria via LeMat-Bulk.

raw formation energy: -1075 meV per atom

Cell lengths 6.687, 6.687, 13.167 Å; angles 90.00, 90.00, 90.00 degrees
Atoms (fractional coordinates):
K  0.000  0.000  0.000
K  0.000  0.500  0.250
K  0.500  0.000  0.750
K  0.500  0.500  0.500
Tl  0.000  0.500  0.750
Tl  0.500  0.000  0.250
Sn  0.000  0.000  0.500
Sn  0.500  0.500  0.000
Br  0.000  0.000  0.263
Br  0.000  0.000  0.737
Br  0.000  0.500  0.003
Br  0.000  0.500  0.497
Br  0.500  0.000  0.503
Br  0.500  0.000  0.997
Br  0.500  0.500  0.237
Br  0.500  0.500  0.763

First-principles (PBE) data for an optimized crystal structure of YRe2As, as listed in Alexandria via LeMat-Bulk.

E_form: 1.14 eV/f.u.

Cell lengths 3.226, 4.594, 9.503 Å; angles 90.00, 90.00, 90.00 degrees
Atoms (fractional coordinates):
Y  0.000  0.000  0.000
Y  0.500  0.500  0.500
Re  0.000  0.000  0.495
Re  0.000  0.500  0.227
Re  0.500  0.000  0.727
Re  0.500  0.500  0.995
As  0.000  0.500  0.775
As  0.500  0.000  0.275

Number 1: M_tot 0.00 μB/cell, total energy -4.361 eV/atom. Number 2: M_tot 12.77 μB/cell, total energy -5.086 eV/atom. Number 3: M_tot 1.07 μB/cell, total energy -3.912 eV/atom. Number 4: M_tot 0.00 μB/cell, total energy -5.131 eV/atom. Number 5: M_tot 0.00 μB/cell, total energy -4.741 eV/atom. Number 6: M_tot 2.61 μB/cell, total energy -7.459 eV/atom. Number 7: M_tot 0.00 μB/cell, total energy -3.783 eV/atom. Number 8: M_tot 0.00 μB/cell, total energy -3.887 eV/atom. Number 9: M_tot 0.00 μB/cell, total energy -7.750 eV/atom. Number 10: M_tot 0.00 μB/cell, total energy -7.772 eV/atom. Number 11: M_tot 10.18 μB/cell, total energy -5.660 eV/atom. Number 12: M_tot 0.00 μB/cell, total energy -5.801 eV/atom. Number 13: M_tot 0.00 μB/cell, total energy -4.051 eV/atom. Number 14: M_tot 2.01 μB/cell, total energy -3.823 eV/atom. Number 15: M_tot 4.26 μB/cell, total energy -8.106 eV/atom. Number 16: M_tot 0.00 μB/cell, total energy -3.290 eV/atom. Number 17: M_tot 0.00 μB/cell, total energy -3.366 eV/atom. Number 18: M_tot 0.00 μB/cell, total energy -2.229 eV/atom. Number 19: M_tot 0.00 μB/cell, total energy -3.352 eV/atom. Number 20: M_tot 2.00 μB/cell, total energy -6.324 eV/atom. Number 21: M_tot 0.41 μB/cell, total energy -5.920 eV/atom. Number 22: M_tot 6.67 μB/cell, total energy -6.053 eV/atom. Number 23: M_tot 0.00 μB/cell, total energy -4.237 eV/atom. Number 24: M_tot 1.24 μB/cell, total energy -2.982 eV/atom. Number 25: M_tot 0.00 μB/cell, total energy -8.716 eV/atom.